A plane-wave DFT calculation with PBE was carried out for a geometry-optimized SrAl2OsO8 structure.

Computed properties:
ΔE_f (raw)	-2156	kJ/mol of formula units
SG	P2/m (10)

Geometry as POSCAR:
```
SrAl2OsO8
1.0
4.392 0.000 0.000
0.000 6.498 0.000
-0.137 0.000 4.735
Sr Al Os O
1 2 1 8
direct
0.000 0.000 0.000
0.500 0.266 0.500
0.500 0.734 0.500
0.000 0.500 0.000
0.253 0.300 0.175
0.253 0.700 0.175
0.268 0.500 0.672
0.278 0.000 0.552
0.722 0.000 0.448
0.732 0.500 0.328
0.747 0.300 0.825
0.747 0.700 0.825
```

A plane-wave DFT calculation with PBE was carried out for a geometry-optimized AlTlOs2O8 structure.

Computed properties:
ΔE_f (raw)	-1372	kJ/mol of formula units
SG	P-3 (147)

Geometry as POSCAR:
```
AlTlOs2O8
1.0
5.340 0.000 0.000
-2.670 4.625 0.000
0.000 0.000 8.156
Al Tl Os O
1 1 2 8
direct
0.000 0.000 0.000
0.000 0.000 0.500
0.333 0.667 0.204
0.667 0.333 0.796
0.050 0.309 0.139
0.259 0.950 0.139
0.309 0.259 0.861
0.333 0.667 0.421
0.667 0.333 0.579
0.691 0.741 0.139
0.741 0.050 0.861
0.950 0.691 0.861
```

A plane-wave DFT calculation with PBE was carried out for a geometry-optimized AlTl2OsO6 structure.

Computed properties:
ΔE_f (raw)	-1168	kJ/mol of formula units
SG	P4mm (99)

Geometry as POSCAR:
```
AlTl2OsO6
1.0
5.161 0.000 0.000
0.000 5.161 0.000
0.000 0.000 5.905
Al Tl Os O
1 2 1 6
direct
0.000 0.000 0.000
0.000 0.500 0.525
0.500 0.000 0.525
0.500 0.500 0.031
0.000 0.000 0.703
0.249 0.249 0.091
0.249 0.751 0.091
0.500 0.500 0.728
0.751 0.249 0.091
0.751 0.751 0.091
```

A plane-wave DFT calculation with PBE was carried out for a geometry-optimized AlTlOsO6 structure.

Computed properties:
ΔE_f (raw)	-1228	kJ/mol of formula units
SG	P312 (149)

Geometry as POSCAR:
```
AlTlOsO6
1.0
5.105 0.000 0.000
-2.552 4.421 0.000
0.000 0.000 4.920
Al Tl Os O
1 1 1 6
direct
0.000 0.000 0.000
0.667 0.333 0.500
0.333 0.667 0.000
0.044 0.333 0.214
0.044 0.711 0.786
0.289 0.333 0.786
0.289 0.956 0.214
0.667 0.711 0.214
0.667 0.956 0.786
```

A plane-wave DFT calculation with PBE was carried out for a geometry-optimized YAl2OsO8 structure.

Computed properties:
ΔE_f (raw)	-2568	kJ/mol of formula units
SG	C2/m (12)

Geometry as POSCAR:
```
YAl2OsO8
1.0
3.512 -3.100 0.000
3.512 3.100 0.000
-0.901 0.000 6.488
Y Al Os O
1 2 1 8
direct
0.000 0.000 0.000
0.461 0.461 0.789
0.539 0.539 0.211
0.000 0.000 0.500
0.209 0.778 0.715
0.222 0.791 0.285
0.261 0.261 0.555
0.324 0.324 0.006
0.676 0.676 0.994
0.739 0.739 0.445
0.778 0.209 0.715
0.791 0.222 0.285
```

A plane-wave DFT calculation with PBE was carried out for a geometry-optimized AlZnOsO6 structure.

Computed properties:
ΔE_f (raw)	-1314	kJ/mol of formula units
SG	P-31c (163)

Geometry as POSCAR:
```
AlZnOsO6
1.0
4.976 0.000 0.000
-2.488 4.309 0.000
0.000 0.000 8.962
Al Zn Os O
2 2 2 12
direct
0.333 0.667 0.250
0.667 0.333 0.750
0.000 0.000 0.000
0.000 0.000 0.500
0.333 0.667 0.750
0.667 0.333 0.250
0.000 0.356 0.135
0.000 0.356 0.635
0.000 0.644 0.365
0.000 0.644 0.865
0.356 0.000 0.135
0.356 0.000 0.635
0.356 0.356 0.365
0.356 0.356 0.865
0.644 0.000 0.365
0.644 0.000 0.865
0.644 0.644 0.135
0.644 0.644 0.635
```